Li4Tm5Tl4: relaxed, GGA-PBE.

abc: 4.5799 8.6482 8.6482
angles: 85.98 74.65 74.65
Atoms (fractional coordinates):
Tl (0.7436, 0.3186, 0.1943)
Li (0.4288, 0.6753, 0.4671)
Tm (0.0000, 0.0000, 0.0000)
Tl (0.9378, 0.8057, 0.3186)
Li (0.1041, 0.4671, 0.3247)
Li (0.8959, 0.5329, 0.6753)
Li (0.5712, 0.3247, 0.5329)
Tm (0.3022, 0.0732, 0.3224)
Tm (0.6246, 0.6776, 0.0732)
Tm (0.6978, 0.9268, 0.6776)
Tl (0.2564, 0.6814, 0.8057)
Tm (0.3754, 0.3224, 0.9268)
Tl (0.0622, 0.1943, 0.6814)

Li3Tm2Tl4: relaxed, GGA-PBE.

Computed properties:
Polymorph energy (0 for the lowest one) (kJ/mol of atoms): 1.8

abc: 6.4310 7.9463 8.6624
angles: 90.00 111.79 90.00
Atoms (fractional coordinates):
Tl (0.8020, 0.2500, 0.1040)
Li (0.0000, 0.0000, 0.0000)
Li (0.4784, 0.2500, 0.4567)
Tl (0.1980, 0.7500, 0.8960)
Tm (0.8919, 0.4168, 0.7839)
Tm (0.3919, 0.0832, 0.7839)
Li (0.0216, 0.7500, 0.5433)
Li (0.9784, 0.2500, 0.4567)
Tl (0.6980, 0.7500, 0.8960)
Li (0.5216, 0.7500, 0.5433)
Tm (0.6081, 0.9168, 0.2161)
Tl (0.3020, 0.2500, 0.1040)
Tl (0.8252, 0.0348, 0.6503)
Li (0.5000, 0.5000, 0.0000)
Tl (0.6748, 0.5348, 0.3497)
Tl (0.1748, 0.9652, 0.3497)
Tl (0.3252, 0.4652, 0.6503)
Tm (0.1081, 0.5832, 0.2161)

Li2TmTl5: relaxed, GGA-PBE.

Computed properties:
Polymorph energy (0 for the lowest one) (kJ/mol of atoms): 0.0

abc: 6.4436 6.4437 6.4438
angles: 106.30 106.30 116.02
Atoms (fractional coordinates):
Tl (0.7776, 0.7778, 0.4996)
Tl (0.2782, 0.7776, 0.0000)
Li (0.7777, 0.2780, 0.5000)
Tl (0.2781, 0.2782, 0.5004)
Tl (0.2776, 0.2773, 0.0000)
Tl (0.7779, 0.2781, 0.0000)
Tm (0.7783, 0.7781, 0.0000)
Li (0.2777, 0.7780, 0.5000)

LiTmTl6: relaxed, GGA-PBE.

abc: 4.8206 6.6772 6.6772
angles: 89.90 90.00 90.00
Atoms (fractional coordinates):
Tm (0.5000, 0.0000, 0.0000)
Tl (0.0000, 0.7497, 0.7497)
Tl (0.5000, 0.5000, 0.0000)
Tl (0.0000, 0.2545, 0.7455)
Tl (0.0000, 0.7455, 0.2545)
Tl (0.0000, 0.2503, 0.2503)
Li (0.5000, 0.5000, 0.5000)
Tl (0.5000, 0.0000, 0.5000)

LiTmTl: relaxed, GGA-PBE.

Computed properties:
Polymorph energy (0 for the lowest one) (kJ/mol of atoms): 1.1

abc: 3.4160 4.8699 4.8699
angles: 120.00 90.00 90.00
Atoms (fractional coordinates):
Tl (0.1670, 0.0000, 0.0000)
Li (0.1661, 0.6667, 0.3333)
Tm (0.6669, 0.3333, 0.6667)

Li2Tm3Tl6: relaxed, GGA-PBE.

abc: 4.6394 4.6394 13.1969
angles: 100.12 100.12 90.00
Atoms (fractional coordinates):
Tl (0.0968, 0.5968, 0.1936)
Tl (0.9032, 0.4032, 0.8064)
Tm (0.1906, 0.1906, 0.3812)
Tm (0.8094, 0.8094, 0.6188)
Li (0.5457, 0.5457, 0.0913)
Tl (0.3096, 0.3096, 0.6193)
Tl (0.6904, 0.6904, 0.3807)
Tl (0.5968, 0.0968, 0.1936)
Li (0.4543, 0.4543, 0.9087)
Tl (0.4032, 0.9032, 0.8064)
Tm (0.0000, 0.0000, 0.0000)

LiTm4Tl7: relaxed, GGA-PBE.

abc: 5.3001 9.1459 7.9028
angles: 81.69 70.41 73.16
Atoms (fractional coordinates):
Tl (0.9339, 0.3055, 0.8267)
Tm (0.7062, 0.6519, 0.9356)
Tl (0.3607, 0.5758, 0.7027)
Tm (0.4189, 0.7979, 0.3643)
Tl (0.5000, 0.0000, 0.0000)
Tl (0.6393, 0.4242, 0.2973)
Tl (0.2154, 0.1471, 0.4221)
Tm (0.5811, 0.2021, 0.6357)
Tl (0.7846, 0.8529, 0.5779)
Tl (0.0661, 0.6945, 0.1733)
Li (0.0000, 0.0000, 0.0000)
Tm (0.2938, 0.3481, 0.0644)

Li2Tm3Tl3: relaxed, GGA-PBE.

abc: 4.5524 4.8369 9.0629
angles: 105.48 104.55 90.00
Each line ends with the local moment (μB).
Atoms (fractional coordinates):
Tm (0.3624, 0.3624, 0.7248)  0.07
Tl (0.8490, 0.8490, 0.6979)  0.00
Tm (0.5000, 0.0000, 0.0000)  0.15
Li (0.7439, 0.2439, 0.4878)  0.00
Tl (0.0000, 0.5000, 0.0000)  0.00
Tl (0.1510, 0.1510, 0.3021)  0.00
Li (0.2561, 0.7561, 0.5122)  0.00
Tm (0.6376, 0.6376, 0.2752)  0.07

Li6TmTl6: relaxed, GGA-PBE.

abc: 5.9078 7.4566 7.4566
angles: 80.40 66.66 66.66
Atoms (fractional coordinates):
Li (0.0000, 0.5000, 0.0000)
Tl (0.3264, 0.1736, 0.1736)
Tl (0.0000, 0.6631, 0.3369)
Tm (0.0000, 0.0000, 0.0000)
Tl (0.0000, 0.3369, 0.6631)
Li (0.5000, 0.0000, 0.5000)
Li (0.5000, 0.7596, 0.2404)
Li (0.5000, 0.2404, 0.7596)
Tl (0.6630, 0.3370, 0.3370)
Li (0.0000, 0.0000, 0.5000)
Tl (0.6736, 0.8264, 0.8264)
Tl (0.3370, 0.6630, 0.6630)
Li (0.5000, 0.5000, 0.0000)

Li2TmTl3: relaxed, GGA-PBE.

Computed properties:
Polymorph energy (0 for the lowest one) (kJ/mol of atoms): 1.6

abc: 3.5823 3.5823 10.7352
angles: 90.00 90.00 90.00
Each line ends with the local moment (μB).
Atoms (fractional coordinates):
Tl (0.0000, 0.0000, 0.3107)  0.00
Li (0.5000, 0.5000, 0.8423)  0.00
Tm (0.5000, 0.5000, 0.5000)  0.16
Li (0.5000, 0.5000, 0.1577)  0.00
Tl (0.0000, 0.0000, 0.0000)  0.00
Tl (0.0000, 0.0000, 0.6893)  0.00

Li4Tm3Tl4: relaxed, GGA-PBE.

Computed properties:
Polymorph energy (0 for the lowest one) (kJ/mol of atoms): 2.5

abc: 4.7121 7.1253 8.5891
angles: 114.51 105.92 90.00
Atoms (fractional coordinates):
Li (0.6761, 0.4889, 0.3521)
Tm (0.8826, 0.8826, 0.7653)
Tl (0.7819, 0.2819, 0.5638)
Li (0.3239, 0.1368, 0.6479)
Li (0.6761, 0.8632, 0.3521)
Li (0.3239, 0.5111, 0.6479)
Tm (0.1174, 0.1174, 0.2347)
Tl (0.5000, 0.2137, 0.0000)
Tl (0.2181, 0.7181, 0.4362)
Tm (0.0000, 0.5000, 0.0000)
Tl (0.5000, 0.7863, 0.0000)

Li2TmTl5: relaxed, GGA-PBE.

Computed properties:
Polymorph energy (0 for the lowest one) (kJ/mol of atoms): 3.1

abc: 7.8781 7.8781 8.5140
angles: 117.56 117.56 90.00
Atoms (fractional coordinates):
Tm (0.7500, 0.7500, 0.5000)
Li (0.1426, 0.3574, 0.0000)
Tl (0.5000, 0.5000, 0.0000)
Li (0.8574, 0.6426, 0.0000)
Li (0.3574, 0.8574, 0.0000)
Tl (0.8004, 0.9999, 0.3002)
Tl (0.4999, 0.3004, 0.3002)
Tl (0.0001, 0.5001, 0.6998)
Tm (0.2500, 0.2500, 0.5000)
Tl (0.1996, 0.0001, 0.6998)
Tl (0.3004, 0.8004, 0.3002)
Tl (0.6996, 0.1996, 0.6998)
Tl (0.0000, 0.0000, 0.0000)
Tl (0.5001, 0.6996, 0.6998)
Tl (0.9999, 0.4999, 0.3002)
Li (0.6426, 0.1426, 0.0000)

| no. | total DFT energy (no corrections) (eV/atom) | energy of formation (meV per atom) |
| --- | --- | --- |
| 1 | -3.2671 | -230 |
| 2 | -2.8977 | -214 |
| 3 | -2.6781 | -162 |
| 4 | -2.6688 | -96 |
| 5 | -3.1609 | -244 |
| 6 | -2.9649 | -107 |
| 7 | -3.1431 | -113 |
| 8 | -3.2599 | -217 |
| 9 | -2.5293 | -210 |
| 10 | -2.8112 | -245 |
| 11 | -2.9984 | -223 |
| 12 | -2.6464 | -130 |